PBE CeNdGaTc, relaxed; formation enthalpy at 0 K = -0.136 eV/atom; total moment = 0.0 Bohr magnetons per cell; crystal system = cubic; E = -6.160 eV per atom
1.0
5.062 0.000 0.000
2.531 4.384 0.000
2.531 1.461 4.133
Tc Ga Ce Nd
1 1 1 1
Direct
0.750 0.750 0.750
0.250 0.250 0.250
0.000 0.000 0.000
0.500 0.500 0.500



PBE Ta2CoSe, relaxed; total moment = 0.0 Bohr magnetons per cell; crystal system = trigonal; E = -8.695 eV per atom; formation energy (no corrections) = -0.121 eV/atom
1.0
6.531 -0.604 -0.357
5.859 2.949 -0.357
5.859 1.109 2.756
Ta Se Co
2 1 1
Direct
0.981 0.981 0.981
0.519 0.519 0.519
0.750 0.750 0.750
0.250 0.250 0.250